A plane-wave DFT calculation with GGA-PBE was carried out for a relaxed SmPb6S8 crystal.

Cell lengths 7.583, 7.583, 7.583 Å; angles 95.73, 95.73, 95.73 degrees
Fractional positions:
Pb 0.337 0.609 0.112
Pb 0.609 0.112 0.337
Pb 0.391 0.888 0.663
Pb 0.663 0.391 0.888
Pb 0.112 0.337 0.609
Pb 0.888 0.663 0.391
S 0.110 0.701 0.796
S 0.890 0.299 0.204
S 0.386 0.386 0.386
S 0.299 0.204 0.890
S 0.701 0.796 0.110
S 0.614 0.614 0.614
S 0.796 0.110 0.701
S 0.204 0.890 0.299
Sm 0.000 0.000 0.000

E_tot: -4.5929 eV per atom
Spin magnetization: 1.0 μB/cell
Formation energy without anion corrections: -0.59 eV per atom

---

A plane-wave DFT calculation with GGA-PBE was carried out for a relaxed Tm3BiSb2 crystal.

Cell lengths 7.557, 7.567, 7.567 Å; angles 119.96, 99.59, 99.59 degrees
Fractional positions:
Tm 0.998 0.157 0.328
Tm 0.500 0.000 0.500
Tm 0.498 0.328 0.157
Tm 0.000 0.500 0.000
Tm 0.502 0.672 0.843
Tm 0.002 0.843 0.672
Sb 0.750 0.748 0.252
Sb 0.250 0.916 0.084
Sb 0.750 0.084 0.916
Sb 0.250 0.252 0.748
Bi 0.750 0.418 0.582
Bi 0.250 0.582 0.418

E_tot: -5.2277 eV per atom
Spin magnetization: 0.0 μB/cell
Formation energy without anion corrections: -0.97 eV per atom

---

A plane-wave DFT calculation with GGA-PBE was carried out for a relaxed Ho5TlHg2 crystal.

Cell lengths 8.256, 8.256, 8.738 Å; angles 118.19, 118.19, 90.00 degrees
Fractional positions:
Hg 0.140 0.360 0.000
Hg 0.360 0.860 0.000
Hg 0.860 0.640 0.000
Hg 0.640 0.140 0.000
Ho 0.697 0.197 0.701
Ho 0.504 0.697 0.701
Ho 0.500 0.500 0.000
Ho 0.996 0.496 0.299
Ho 0.197 0.004 0.701
Ho 0.803 0.996 0.299
Ho 0.496 0.303 0.299
Ho 0.000 0.000 0.000
Ho 0.004 0.504 0.701
Ho 0.303 0.803 0.299
Tl 0.250 0.250 0.500
Tl 0.750 0.750 0.500

Energy of formation: -32 kJ/mol of atoms
E_tot: -3.5688 eV per atom
Spin magnetization: 0.0 μB/cell

---

A plane-wave DFT calculation with GGA-PBE was carried out for a relaxed NaInGa2Cl crystal.

Cell lengths 5.129, 6.292, 5.129 Å; angles 90.00, 90.00, 90.00 degrees
Fractional positions:
Ga 0.000 0.000 0.500
Ga 0.500 0.000 0.000
Na 0.000 0.500 0.000
In 0.000 0.000 0.000
Cl 0.500 0.500 0.500

E_tot: -2.3833 eV per atom
Spin magnetization: 0.0 μB/cell
Formation energy without anion corrections: 0.01 eV per atom